{
  "formula": "Er3TlFe",
  "functional": "PBE",
  "state": "optimized geometry",
  "mass_density_g_cm3": 10.0,
  "e_form_mev_per_atom": -130,
  "de_polymorph_mev_per_atom": 50,
  "magnetic_moment_mub_per_fu": 0.5,
  "dos_ef_per_ev_cell": 9.84,
  "sg": "No. 194",
  "cell": [[5.257, 0.000, 0.000], [0.000, 7.441, -0.001], [0.000, -3.719, 6.445]],
  "species": ["Er", "Tl", "Er", "Tl", "Fe", "Er", "Fe", "Er", "Er", "Er"],
  "fractional_positions": [[0.250, 0.821, 0.642], [0.250, 0.334, 0.666], [0.250, 0.358, 0.179], [0.750, 0.666, 0.334], [0.000, 0.000, 0.000], [0.250, 0.821, 0.179], [0.500, 0.000, 0.000], [0.750, 0.179, 0.358], [0.750, 0.179, 0.821], [0.750, 0.642, 0.821]]
}

{
  "formula": "Er8Tl2Fe",
  "functional": "PBE",
  "state": "optimized geometry",
  "mass_density_g_cm3": 10.1,
  "e_form_mev_per_atom": -115,
  "magnetic_moment_mub_per_fu": 0.0,
  "dos_ef_per_ev_cell": 10.53,
  "sg": "No. 12",
  "cell": [[-3.541, 2.831, 3.025], [-5.197, -2.774, -3.487], [3.965, -6.025, 5.370]],
  "species": ["Fe", "Er", "Er", "Er", "Tl", "Tl", "Er", "Er", "Er", "Er", "Er"],
  "fractional_positions": [[0.500, 0.000, 0.000], [0.195, 0.247, 0.390], [0.010, 0.773, 0.021], [0.990, 0.227, 0.979], [0.817, 0.306, 0.634], [0.183, 0.694, 0.366], [0.805, 0.753, 0.610], [0.600, 0.397, 0.200], [0.636, 0.912, 0.272], [0.364, 0.088, 0.728], [0.400, 0.603, 0.800]]
}

{
  "formula": "Er6Tl3Fe",
  "functional": "PBE",
  "state": "optimized geometry",
  "mass_density_g_cm3": 10.1,
  "e_form_mev_per_atom": -137,
  "magnetic_moment_mub_per_fu": 0.0,
  "dos_ef_per_ev_cell": 18.97,
  "sg": "No. 14",
  "cell": [[-1.358, -0.381, 5.746], [-6.259, -5.882, -1.868], [6.996, -7.837, 1.239]],
  "species": ["Tl", "Er", "Er", "Er", "Fe", "Er", "Er", "Tl", "Er", "Tl", "Er", "Er", "Tl", "Er", "Tl", "Er", "Er", "Tl", "Fe", "Er"],
  "fractional_positions": [[0.093, 0.610, 0.235], [0.377, 0.555, 0.722], [0.586, 0.208, 0.566], [0.623, 0.445, 0.278], [0.500, 0.500, 0.500], [0.086, 0.292, 0.066], [0.914, 0.708, 0.934], [0.407, 0.110, 0.265], [0.615, 0.154, 0.940], [0.000, 0.000, 0.500], [0.115, 0.346, 0.440], [0.123, 0.055, 0.778], [0.593, 0.890, 0.735], [0.385, 0.846, 0.060], [0.500, 0.500, 0.000], [0.877, 0.945, 0.222], [0.414, 0.792, 0.434], [0.907, 0.390, 0.765], [0.000, 0.000, 0.000], [0.885, 0.654, 0.560]]
}

{
  "formula": "Er3TlFe",
  "functional": "PBE",
  "state": "optimized geometry",
  "mass_density_g_cm3": 9.5,
  "e_form_mev_per_atom": -11,
  "de_polymorph_mev_per_atom": 168,
  "magnetic_moment_mub_per_fu": 0.0,
  "dos_ef_per_ev_cell": 4.27,
  "sg": "No. 221",
  "cell": [[5.107, 0.000, 0.000], [0.000, 5.107, 0.000], [0.000, 0.000, 5.107]],
  "species": ["Er", "Tl", "Er", "Fe", "Er"],
  "fractional_positions": [[0.500, 0.000, 0.000], [0.500, 0.500, 0.500], [0.000, 0.000, 0.500], [0.000, 0.000, 0.000], [0.000, 0.500, 0.000]]
}

{
  "formula": "Er8TlFe2",
  "functional": "PBE",
  "state": "optimized geometry",
  "mass_density_g_cm3": 9.6,
  "e_form_mev_per_atom": -39,
  "magnetic_moment_mub_per_fu": 0.0,
  "dos_ef_per_ev_cell": 8.79,
  "sg": "No. 12",
  "cell": [[-3.030, 0.423, 4.298], [3.199, -6.866, 1.704], [4.747, 5.949, 1.536]],
  "species": ["Fe", "Er", "Er", "Er", "Er", "Er", "Fe", "Er", "Tl", "Er", "Er"],
  "fractional_positions": [[0.500, 0.318, 0.689], [0.000, 0.753, 0.253], [0.798, 0.618, 0.618], [0.424, 0.942, 0.671], [0.576, 0.064, 0.335], [0.000, 0.253, 0.753], [0.500, 0.689, 0.318], [0.424, 0.671, 0.942], [0.000, 0.003, 0.003], [0.202, 0.389, 0.389], [0.576, 0.335, 0.064]]
}

{
  "formula": "Er6TlFe",
  "functional": "PBE",
  "state": "optimized geometry",
  "mass_density_g_cm3": 9.0,
  "e_form_mev_per_atom": 62,
  "magnetic_moment_mub_per_fu": 0.0,
  "dos_ef_per_ev_cell": 11.17,
  "sg": "No. 12",
  "cell": [[-1.760, 5.779, 1.963], [-2.924, -0.625, -5.604], [-3.765, -3.400, 3.457]],
  "species": ["Fe", "Tl", "Er", "Er", "Er", "Er", "Er", "Er"],
  "fractional_positions": [[0.500, 0.500, 0.500], [0.000, 0.000, 0.000], [0.436, 0.800, 0.785], [0.564, 0.200, 0.215], [0.800, 0.436, 0.785], [0.223, 0.223, 0.633], [0.200, 0.564, 0.215], [0.777, 0.777, 0.367]]
}